Material: PaNiAg2O6
Method: DFT, PBE with a Hubbard U
State: optimized geometry

The calculation puts the calculated total energy at -6.127 eV/atom. Its density of states at the Fermi level is 14.5 states/eV per cell. For the total magnetic moment, the calculation gives 6.64 μB per cell.

The space group is C2/c (No. 15) and the conventional cell measures 11.111, 8.540 and 5.424 Å, with angles of 90.00, 92.65 and 90.00 degrees. The inequivalent atoms are Pa at (0.000, 0.160, 0.250), Ni at (0.000, 0.424, 0.750), Ag at (0.250, 0.141, 0.762), O at (0.090, 0.393, 0.429), O at (0.109, 0.054, 0.540) and O at (0.124, 0.269, 0.968).